(1)
# LaTeIrI2 (PBE, optimized geometry)
# Excess energy over the best structure of this formula in the dataset (eV/atom): 0.000
# Crystal system: tetragonal
# Formation energy without anion corrections (eV per atom): -0.2745
data_LaTeIrI2
_chemical_formula_sum 'La1 Te1 Ir1 I2'
_cell_length_a 5.3516
_cell_length_b 5.3516
_cell_length_c 5.3871
_cell_angle_alpha 90.00
_cell_angle_beta 90.00
_cell_angle_gamma 90.00
_space_group_name_H-M_alt 'P 4/m m m'
_space_group_IT_number 123
_space_group_name_Hall '-P 4 2'
loop_
_atom_site_label
_atom_site_type_symbol
_atom_site_fract_x
_atom_site_fract_y
_atom_site_fract_z
La1 La 0.0000 0.0000 0.0000
Te1 Te 0.5000 0.5000 0.0000
Ir1 Ir 0.5000 0.5000 0.5000
I1 I 0.0000 0.5000 0.5000

(2)
# La6Te3Ir2I (PBE, optimized geometry)
# Crystal system: monoclinic
# Formation energy without anion corrections (eV per atom): -1.2499
data_La6Te3Ir2I
_chemical_formula_sum 'La12 Te6 Ir4 I2'
_cell_length_a 19.6912
_cell_length_b 4.3632
_cell_length_c 9.3357
_cell_angle_alpha 90.00
_cell_angle_beta 105.32
_cell_angle_gamma 90.00
_space_group_name_H-M_alt 'C 1 2/m 1'
_space_group_IT_number 12
_space_group_name_Hall '-C 2y'
loop_
_atom_site_label
_atom_site_type_symbol
_atom_site_fract_x
_atom_site_fract_y
_atom_site_fract_z
La1 La 0.0226 0.0000 0.2735
La2 La 0.1782 0.5000 0.1313
La3 La 0.1777 0.5000 0.5649
Te1 Te 0.0000 0.5000 0.5000
Te2 Te 0.1538 0.0000 0.8426
Ir1 Ir 0.1702 0.0000 0.3376
I1 I 0.0000 0.5000 0.0000

(3)
# LaTeIrI2 (PBE, optimized geometry)
# Excess energy over the best structure of this formula in the dataset (eV/atom): 0.790
# Crystal system: tetragonal
# Formation energy without anion corrections (eV per atom): 0.5154
data_LaTeIrI2
_chemical_formula_sum 'La1 Te1 Ir1 I2'
_cell_length_a 6.1739
_cell_length_b 6.1739
_cell_length_c 6.3423
_cell_angle_alpha 90.00
_cell_angle_beta 90.00
_cell_angle_gamma 90.00
_space_group_name_H-M_alt 'P 4/m m m'
_space_group_IT_number 123
_space_group_name_Hall '-P 4 2'
loop_
_atom_site_label
_atom_site_type_symbol
_atom_site_fract_x
_atom_site_fract_y
_atom_site_fract_z
La1 La 0.0000 0.0000 0.0000
Te1 Te 0.0000 0.0000 0.5000
Ir1 Ir 0.5000 0.5000 0.5000
I1 I 0.0000 0.5000 0.0000

(4)
# LaThIrI (PBE, optimized geometry)
# Crystal system: trigonal
# Formation energy without anion corrections (eV per atom): -1.0169
data_LaThIrI
_chemical_formula_sum 'La3 Th3 Ir3 I3'
_cell_length_a 4.2471
_cell_length_b 4.2471
_cell_length_c 24.9353
_cell_angle_alpha 90.00
_cell_angle_beta 90.00
_cell_angle_gamma 120.00
_space_group_name_H-M_alt 'R 3 m'
_space_group_IT_number 160
_space_group_name_Hall 'R 3 -2"'
loop_
_atom_site_label
_atom_site_type_symbol
_atom_site_fract_x
_atom_site_fract_y
_atom_site_fract_z
La1 La 0.0000 0.0000 0.0000
Th1 Th 0.0000 0.0000 0.7866
Ir1 Ir 0.0000 0.0000 0.3980
I1 I 0.0000 0.0000 0.2249